No. 1
Sc2MnMo | PBE | optimized geometry

Geometry as CIF:
```
data_Sc2MnMo
_chemical_formula_sum 'Sc2 Mn1 Mo1'
_cell_length_a 4.5546
_cell_length_b 4.5551
_cell_length_c 4.5546
_cell_angle_alpha 119.98
_cell_angle_beta 119.98
_cell_angle_gamma 90.03
_symmetry_space_group_name_H-M 'P 1'
_symmetry_Int_Tables_number 1
_symmetry_space_group_name_Hall 'P 1'
loop_
_atom_site_label
_atom_site_type_symbol
_atom_site_fract_x
_atom_site_fract_y
_atom_site_fract_z
Mn1 Mn 0.5000 0.5002 0.0002
Mo1 Mo 0.7500 0.2497 0.4997
Sc1 Sc 0.0000 0.0000 0.0000
Sc2 Sc 0.2500 0.7500 0.5000
```

Output
SG: F-43m, No. 216
energy of formation from the pure elements: 0.25 eV per atom
final energy: -7.92 eV per atom
total magnetic moment: 0.001 μB per atom

=====

No. 2
NaTi2OsW | PBE | optimized geometry

Geometry as CIF:
```
data_NaTi2OsW
_chemical_formula_sum 'Na1 Ti2 Os1 W1'
_cell_length_a 4.2743
_cell_length_b 4.6558
_cell_length_c 4.2743
_cell_angle_alpha 90.00
_cell_angle_beta 90.00
_cell_angle_gamma 90.00
_symmetry_space_group_name_H-M 'P 1'
_symmetry_Int_Tables_number 1
_symmetry_space_group_name_Hall 'P 1'
loop_
_atom_site_label
_atom_site_type_symbol
_atom_site_fract_x
_atom_site_fract_y
_atom_site_fract_z
Na1 Na 0.0000 0.0000 0.0000
Os1 Os 0.0000 0.5000 0.0000
W1 W 0.5000 0.5000 0.5000
Ti1 Ti 0.0000 0.0000 0.5000
Ti2 Ti 0.5000 0.0000 0.0000
```

Output
SG: P4/mmm, No. 123
energy of formation from the pure elements: 2.07 eV per atom
final energy: -6.19 eV per atom
total magnetic moment: 0.131 μB per atom

=====

No. 3
LuPa3 | PBE | optimized geometry

Geometry as CIF:
```
data_LuPa3
_chemical_formula_sum 'Lu1 Pa3'
_cell_length_a 3.1990
_cell_length_b 5.5561
_cell_length_c 5.7347
_cell_angle_alpha 90.00
_cell_angle_beta 90.00
_cell_angle_gamma 90.00
_symmetry_space_group_name_H-M 'P 1'
_symmetry_Int_Tables_number 1
_symmetry_space_group_name_Hall 'P 1'
loop_
_atom_site_label
_atom_site_type_symbol
_atom_site_fract_x
_atom_site_fract_y
_atom_site_fract_z
Pa1 Pa 0.0000 0.0000 0.0171
Pa2 Pa 0.5000 0.0000 0.5225
Pa3 Pa 0.5000 0.5000 0.8148
Lu1 Lu 0.0000 0.5000 0.3124
```

Output
SG: Pmm2, No. 25
energy of formation from the pure elements: 0.15 eV per atom
final energy: -8.11 eV per atom
total magnetic moment: 0.000 μB per atom

=====

No. 4
KSiNO2 | PBE | optimized geometry

Geometry as CIF:
```
data_KSiNO2
_chemical_formula_sum 'K1 Si1 N1 O2'
_cell_length_a 4.6098
_cell_length_b 4.6098
_cell_length_c 4.7467
_cell_angle_alpha 90.00
_cell_angle_beta 90.00
_cell_angle_gamma 90.00
_symmetry_space_group_name_H-M 'P 1'
_symmetry_Int_Tables_number 1
_symmetry_space_group_name_Hall 'P 1'
loop_
_atom_site_label
_atom_site_type_symbol
_atom_site_fract_x
_atom_site_fract_y
_atom_site_fract_z
K1 K 0.0000 0.0000 0.0000
Si1 Si 0.5000 0.5000 0.5000
O1 O 0.0000 0.5000 0.0000
O2 O 0.5000 0.0000 0.0000
N1 N 0.0000 0.0000 0.5000
```

Output
SG: P4/mmm, No. 123
final energy: -3.20 eV per atom
total magnetic moment: 0.800 μB per atom